# LiCaI2O | Alexandria via LeMat-Bulk | PBE | relaxed
data_LiCaI2O
_symmetry_space_group_name_H-M 'P 4/m m m'
_symmetry_Int_Tables_number 123
_symmetry_space_group_name_Hall '-P 4 2'
_cell_length_a 6.213
_cell_length_b 6.213
_cell_length_c 4.387
_cell_angle_alpha 90.00
_cell_angle_beta 90.00
_cell_angle_gamma 90.00
loop_
_atom_site_label
_atom_site_type_symbol
_atom_site_fract_x
_atom_site_fract_y
_atom_site_fract_z
Li1 Li 0.000 0.000 0.000
Ca1 Ca 0.500 0.500 0.500
I1 I 0.000 0.500 0.500
O1 O 0.500 0.500 0.000
# Formation energy from raw total energies (eV/f.u.): -5.33
# ΔE to the lowest computed polymorph (meV per atom): 0
# Total magnetic moment (μB per formula unit): 1.01